# SrHf2Se4, optimized geometry, DFT GGA-PBE
# **Raw total energy**: -6.477 eV/atom
data_SrHf2Se4
_space_group_name_H-M_alt 'C m c m'
_space_group_IT_number 63
_space_group_name_Hall '-C 2c 2'
_cell_length_a 4.0163
_cell_length_b 12.6966
_cell_length_c 13.4688
_cell_angle_alpha 90.00
_cell_angle_beta 90.00
_cell_angle_gamma 90.00
loop_
_atom_site_label
_atom_site_type_symbol
_atom_site_fract_x
_atom_site_fract_y
_atom_site_fract_z
Sr1 Sr 0.0000 0.1199 0.2500
Hf1 Hf 0.0000 0.3797 0.0610
Se1 Se 0.0000 0.0000 0.0000
Se2 Se 0.0000 0.2651 0.6089
Se3 Se 0.0000 0.4358 0.2500


# SrHfSe3, optimized geometry, DFT GGA-PBE
# **Raw total energy**: -6.028 eV/atom
# **Offset from the most stable computed form**: 0.0 meV/atom
data_SrHfSe3
_space_group_name_H-M_alt 'P n m a'
_space_group_IT_number 62
_space_group_name_Hall '-P 2ac 2n'
_cell_length_a 9.0329
_cell_length_b 3.9660
_cell_length_c 14.6031
_cell_angle_alpha 90.00
_cell_angle_beta 90.00
_cell_angle_gamma 90.00
loop_
_atom_site_label
_atom_site_type_symbol
_atom_site_fract_x
_atom_site_fract_y
_atom_site_fract_z
Sr1 Sr 0.0576 0.2500 0.1782
Hf1 Hf 0.1692 0.7500 0.4435
Se1 Se 0.0187 0.7500 0.6066
Se2 Se 0.1617 0.7500 0.0122
Se3 Se 0.2123 0.2500 0.7827


# SrHf2Se2, optimized geometry, DFT GGA-PBE
# **Raw total energy**: -6.639 eV/atom
data_SrHf2Se2
_space_group_name_H-M_alt 'I 4/m m m'
_space_group_IT_number 139
_space_group_name_Hall '-I 4 2'
_cell_length_a 4.0573
_cell_length_b 4.0573
_cell_length_c 14.6870
_cell_angle_alpha 90.00
_cell_angle_beta 90.00
_cell_angle_gamma 90.00
loop_
_atom_site_label
_atom_site_type_symbol
_atom_site_fract_x
_atom_site_fract_y
_atom_site_fract_z
Sr1 Sr 0.0000 0.0000 0.0000
Hf1 Hf 0.0000 0.5000 0.2500
Se1 Se 0.0000 0.0000 0.3849


# SrHf2Se, optimized geometry, DFT GGA-PBE
# **Raw total energy**: -6.036 eV/atom
data_SrHf2Se
_space_group_name_H-M_alt 'I 41/a m d'
_space_group_IT_number 141
_cell_length_a 5.1732
_cell_length_b 5.1732
_cell_length_c 19.3513
_cell_angle_alpha 90.00
_cell_angle_beta 90.00
_cell_angle_gamma 90.00
loop_
_space_group_symop_operation_xyz
'x,y,z'
'-x,-y,-z'
'-y+1/4,x+3/4,z+1/4'
'y+1/4,-x+3/4,-z+1/4'
'-x+1/2,-y,z+1/2'
'x+1/2,y,-z+1/2'
'y+1/4,-x+1/4,z+3/4'
'-y+1/4,x+1/4,-z+3/4'
'x,-y,-z'
'-x,y,z'
'-y+1/4,-x+1/4,-z+3/4'
'y+1/4,x+1/4,z+3/4'
'-x+1/2,y,-z+1/2'
'x+1/2,-y,z+1/2'
'y+1/4,x+3/4,-z+1/4'
'-y+1/4,-x+3/4,z+1/4'
'x+1/2,y+1/2,z+1/2'
'-x+1/2,-y+1/2,-z+1/2'
'-y+3/4,x+1/4,z+3/4'
'y+3/4,-x+1/4,-z+3/4'
'-x,-y+1/2,z'
'x,y+1/2,-z'
'y+3/4,-x+3/4,z+1/4'
'-y+3/4,x+3/4,-z+1/4'
'x+1/2,-y+1/2,-z+1/2'
'-x+1/2,y+1/2,z+1/2'
'-y+3/4,-x+3/4,-z+1/4'
'y+3/4,x+3/4,z+1/4'
'-x,y+1/2,-z'
'x,-y+1/2,z'
'y+3/4,x+1/4,-z+3/4'
'-y+3/4,-x+1/4,z+3/4'
loop_
_atom_site_label
_atom_site_type_symbol
_atom_site_fract_x
_atom_site_fract_y
_atom_site_fract_z
Sr1 Sr 0.0000 0.2500 0.3750
Hf1 Hf 0.0000 0.0000 0.0000
Se1 Se 0.0000 0.2500 0.8750


# Sr2HfTl3Se6, optimized geometry, DFT GGA-PBE
# **Raw total energy**: -4.595 eV/atom
data_Sr2HfTl3Se6
_space_group_name_H-M_alt 'C 1 2/m 1'
_space_group_IT_number 12
_space_group_name_Hall '-C 2y'
_cell_length_a 7.5522
_cell_length_b 13.0929
_cell_length_c 7.7840
_cell_angle_alpha 90.00
_cell_angle_beta 109.49
_cell_angle_gamma 90.00
loop_
_atom_site_label
_atom_site_type_symbol
_atom_site_fract_x
_atom_site_fract_y
_atom_site_fract_z
Sr1 Sr 0.0000 0.1653 0.0000
Hf1 Hf 0.0000 0.5000 0.0000
Tl1 Tl 0.0000 0.0000 0.5000
Tl2 Tl 0.0000 0.3333 0.5000
Se1 Se 0.2190 0.3537 0.2111
Se2 Se 0.2195 0.5000 0.7818


# SrHfZn2Se, optimized geometry, DFT GGA-PBE
# **Raw total energy**: -2.131 eV/atom
data_SrHfZn2Se
_space_group_name_H-M_alt 'P 4/m m m'
_space_group_IT_number 123
_space_group_name_Hall '-P 4 2'
_cell_length_a 5.4797
_cell_length_b 5.4797
_cell_length_c 6.1831
_cell_angle_alpha 90.00
_cell_angle_beta 90.00
_cell_angle_gamma 90.00
loop_
_atom_site_label
_atom_site_type_symbol
_atom_site_fract_x
_atom_site_fract_y
_atom_site_fract_z
Sr1 Sr 0.0000 0.0000 0.0000
Hf1 Hf 0.0000 0.0000 0.5000
Zn1 Zn 0.0000 0.5000 0.0000
Se1 Se 0.5000 0.5000 0.5000


# HfTaSe6, optimized geometry, DFT GGA-PBE
# **Raw total energy**: -5.909 eV/atom
data_HfTaSe6
_space_group_name_H-M_alt 'P -1'
_space_group_IT_number 2
_space_group_name_Hall '-P 1'
_cell_length_a 6.3428
_cell_length_b 6.4938
_cell_length_c 6.5489
_cell_angle_alpha 70.85
_cell_angle_beta 61.95
_cell_angle_gamma 61.48
loop_
_atom_site_label
_atom_site_type_symbol
_atom_site_fract_x
_atom_site_fract_y
_atom_site_fract_z
Hf1 Hf 0.0000 0.0000 0.0000
Ta1 Ta 0.5000 0.5000 0.5000
Se1 Se 0.0495 0.7433 0.7417
Se2 Se 0.3288 0.6035 0.1729
Se3 Se 0.3935 0.1189 0.6647


# Hf2TaSe, optimized geometry, DFT GGA-PBE
# **Raw total energy**: -8.465 eV/atom
data_Hf2TaSe
_space_group_name_H-M_alt 'I -4 2 d'
_space_group_IT_number 122
_space_group_name_Hall 'I -4 2bw'
_cell_length_a 4.1105
_cell_length_b 4.1105
_cell_length_c 19.6886
_cell_angle_alpha 90.00
_cell_angle_beta 90.00
_cell_angle_gamma 90.00
loop_
_atom_site_label
_atom_site_type_symbol
_atom_site_fract_x
_atom_site_fract_y
_atom_site_fract_z
Hf1 Hf 0.2453 0.2500 0.1250
Ta1 Ta 0.0000 0.0000 0.5000
Se1 Se 0.0000 0.0000 0.0000


# HfTaSe, optimized geometry, DFT GGA-PBE
# **Raw total energy**: -8.872 eV/atom
# **Offset from the most stable computed form**: 44.1 meV/atom
data_HfTaSe
_space_group_name_H-M_alt 'C 1 2/m 1'
_space_group_IT_number 12
_space_group_name_Hall '-C 2y'
_cell_length_a 14.8882
_cell_length_b 3.3389
_cell_length_c 4.6073
_cell_angle_alpha 90.00
_cell_angle_beta 101.19
_cell_angle_gamma 90.00
loop_
_atom_site_label
_atom_site_type_symbol
_atom_site_fract_x
_atom_site_fract_y
_atom_site_fract_z
Hf1 Hf 0.1702 0.0000 0.2155
Ta1 Ta 0.0000 0.0000 0.5000
Ta2 Ta 0.0000 0.5000 0.0000
Se1 Se 0.1433 0.5000 0.6949


# Hf2TaSe, optimized geometry, DFT GGA-PBE
# **Raw total energy**: -8.706 eV/atom
data_Hf2TaSe
_space_group_name_H-M_alt 'R -3 m'
_space_group_IT_number 166
_space_group_name_Hall '-R 3 2"'
_cell_length_a 3.1898
_cell_length_b 3.1898
_cell_length_c 28.6467
_cell_angle_alpha 90.00
_cell_angle_beta 90.00
_cell_angle_gamma 120.00
loop_
_atom_site_label
_atom_site_type_symbol
_atom_site_fract_x
_atom_site_fract_y
_atom_site_fract_z
Hf1 Hf 0.0000 0.0000 0.0964
Ta1 Ta 0.0000 0.0000 0.0000
Se1 Se 0.0000 0.0000 0.5000


# HfTaSe, optimized geometry, DFT GGA-PBE
# **Raw total energy**: -8.896 eV/atom
# **Offset from the most stable computed form**: 20.8 meV/atom
data_HfTaSe
_space_group_name_H-M_alt 'P 1'
_space_group_IT_number 1
_space_group_name_Hall 'P 1'
_cell_length_a 3.3455
_cell_length_b 5.0664
_cell_length_c 7.3983
_cell_angle_alpha 100.28
_cell_angle_beta 90.92
_cell_angle_gamma 108.24
loop_
_atom_site_label
_atom_site_type_symbol
_atom_site_fract_x
_atom_site_fract_y
_atom_site_fract_z
Hf1 Hf 0.0000 0.0000 0.0000
Hf2 Hf 0.2360 0.4910 0.6385
Ta1 Ta 0.4317 0.9519 0.3657
Ta2 Ta 0.7544 0.4693 0.2860
Se1 Se 0.2941 0.5670 0.0248
Se2 Se 0.5244 0.0687 0.7207


# HfTaSe, optimized geometry, DFT GGA-PBE
# **Raw total energy**: -8.894 eV/atom
# **Offset from the most stable computed form**: 23.0 meV/atom
data_HfTaSe
_space_group_name_H-M_alt 'P 1'
_space_group_IT_number 1
_space_group_name_Hall 'P 1'
_cell_length_a 3.2724
_cell_length_b 5.0395
_cell_length_c 7.3665
_cell_angle_alpha 84.23
_cell_angle_beta 84.73
_cell_angle_gamma 74.10
loop_
_atom_site_label
_atom_site_type_symbol
_atom_site_fract_x
_atom_site_fract_y
_atom_site_fract_z
Hf1 Hf 0.0000 0.0000 0.0000
Hf2 Hf 0.3595 0.4420 0.6237
Ta1 Ta 0.1827 0.0178 0.3899
Ta2 Ta 0.7143 0.5398 0.2633
Se1 Se 0.3206 0.4396 0.9938
Se2 Se 0.6671 0.8793 0.6830


Question: What is the formula in the first record?
Answer: SrHf2Se4


Repeat the ninth record exactly.
# HfTaSe, optimized geometry, DFT GGA-PBE
# **Raw total energy**: -8.872 eV/atom
# **Offset from the most stable computed form**: 44.1 meV/atom
data_HfTaSe
_space_group_name_H-M_alt 'C 1 2/m 1'
_space_group_IT_number 12
_space_group_name_Hall '-C 2y'
_cell_length_a 14.8882
_cell_length_b 3.3389
_cell_length_c 4.6073
_cell_angle_alpha 90.00
_cell_angle_beta 101.19
_cell_angle_gamma 90.00
loop_
_atom_site_label
_atom_site_type_symbol
_atom_site_fract_x
_atom_site_fract_y
_atom_site_fract_z
Hf1 Hf 0.1702 0.0000 0.2155
Ta1 Ta 0.0000 0.0000 0.5000
Ta2 Ta 0.0000 0.5000 0.0000
Se1 Se 0.1433 0.5000 0.6949


Copy entry 2 word for word.
# SrHfSe3, optimized geometry, DFT GGA-PBE
# **Raw total energy**: -6.028 eV/atom
# **Offset from the most stable computed form**: 0.0 meV/atom
data_SrHfSe3
_space_group_name_H-M_alt 'P n m a'
_space_group_IT_number 62
_space_group_name_Hall '-P 2ac 2n'
_cell_length_a 9.0329
_cell_length_b 3.9660
_cell_length_c 14.6031
_cell_angle_alpha 90.00
_cell_angle_beta 90.00
_cell_angle_gamma 90.00
loop_
_atom_site_label
_atom_site_type_symbol
_atom_site_fract_x
_atom_site_fract_y
_atom_site_fract_z
Sr1 Sr 0.0576 0.2500 0.1782
Hf1 Hf 0.1692 0.7500 0.4435
Se1 Se 0.0187 0.7500 0.6066
Se2 Se 0.1617 0.7500 0.0122
Se3 Se 0.2123 0.2500 0.7827